Density functional theory data (PBE-GGA) for crystalline ReAs2 at its relaxed geometry.

Lattice parameters (Å, degrees): 7.9974 3.1340 11.2622 90.00 129.13 90.00
Fractional positions:
Re  0.5423  0.0000  0.8295
Re  0.5423  0.5000  0.3295
Re  0.4553  0.0000  0.0572
Re  0.4553  0.5000  0.5572
As  0.1991  0.0000  0.5507
As  0.1991  0.5000  0.0507
As  0.8238  0.0000  0.5299
As  0.8238  0.5000  0.0299
As  0.7745  0.0000  0.7474
As  0.7745  0.5000  0.2474
As  0.2785  0.0000  0.3223
As  0.2785  0.5000  0.8223

Properties
E_tot ... -85.962 eV for the cell shown
Energy of formation ... 86 meV/atom